Here is MnAsO4 at its PBEsol-relaxed geometry from the Alexandria database. Energies are from SCAN.

Cell lengths 4.9269, 5.9126, 10.1382 Å; angles 90.00, 90.00, 90.00 degrees
Element x y z (fractional)
O (0.6542, 0.7500, 0.4293)
O (0.7483, 0.5322, 0.6759)
O (0.2483, 0.4678, 0.8241)
O (0.2517, 0.4678, 0.3241)
O (0.2517, 0.0322, 0.3241)
O (0.7517, 0.5322, 0.1759)
O (0.3458, 0.2500, 0.5707)
O (0.7483, 0.9678, 0.6759)
O (0.8458, 0.7500, 0.9293)
O (0.2483, 0.0322, 0.8241)
O (0.7399, 0.2500, 0.8872)
O (0.7517, 0.9678, 0.1759)
O (0.2399, 0.7500, 0.6128)
O (0.2601, 0.7500, 0.1128)
O (0.1542, 0.2500, 0.0707)
O (0.7601, 0.2500, 0.3872)
As (0.0829, 0.2500, 0.9065)
As (0.4171, 0.2500, 0.4065)
As (0.9171, 0.7500, 0.0935)
As (0.5829, 0.7500, 0.5935)
Mn (0.5526, 0.2500, 0.7265)
Mn (0.0526, 0.7500, 0.7735)
Mn (0.9474, 0.2500, 0.2265)
Mn (0.4474, 0.7500, 0.2735)

Calculated values
As for the space group: No. 62. The crystal system is orthorhombic. The calculation puts the uncorrected formation energy at -9.855 eV/f.u.

Here is MnAs2O6 at its PBEsol-relaxed geometry from the Alexandria database. Energies are from SCAN.

Cell lengths 4.6494, 4.8363, 4.8363 Å; angles 120.00, 90.00, 90.00 degrees
Element x y z (fractional)
O (0.2785, 0.6342, 0.6342)
O (0.2785, 0.3658, 0.0000)
O (0.7215, 0.3658, 0.3658)
O (0.7215, 0.0000, 0.6342)
O (0.7215, 0.6342, 0.0000)
O (0.2785, 0.0000, 0.3658)
As (0.5000, 0.6667, 0.3333)
As (0.5000, 0.3333, 0.6667)
Mn (0.0000, 0.0000, 0.0000)

Calculated values
As for the space group: No. 162. The crystal system is trigonal. The calculation puts the uncorrected formation energy at -14.033 eV/f.u.

Here is MnAs3Pb3O9 at its PBEsol-relaxed geometry from the Alexandria database. Energies are from SCAN.

Cell lengths 6.5412, 7.1244, 10.7628 Å; angles 85.01, 90.00, 90.00 degrees
Element x y z (fractional)
Mn (0.9860, 0.0050, 0.4541)
Mn (0.0140, 0.5050, 0.9541)
O (0.9054, 0.1951, 0.5948)
O (0.0946, 0.6951, 0.0948)
O (0.5268, 0.3299, 0.4137)
O (0.3070, 0.4893, 0.9157)
O (0.7126, 0.4896, 0.9622)
O (0.6783, 0.5779, 0.6814)
O (0.0073, 0.2174, 0.3312)
O (0.0329, 0.3113, 0.0894)
O (0.2874, 0.9896, 0.4622)
O (0.9663, 0.2805, 0.8322)
O (0.9671, 0.8113, 0.5894)
O (0.1747, 0.4576, 0.6281)
O (0.4732, 0.8299, 0.9137)
O (0.3217, 0.0779, 0.1814)
O (0.9927, 0.7174, 0.8312)
O (0.8253, 0.9576, 0.1281)
O (0.0337, 0.7805, 0.3322)
O (0.6930, 0.9893, 0.4157)
Pb (0.6214, 0.2987, 0.8043)
Pb (0.1386, 0.0055, 0.9910)
Pb (0.7028, 0.2282, 0.2056)
Pb (0.3786, 0.7987, 0.3043)
Pb (0.2972, 0.7282, 0.7056)
Pb (0.8614, 0.5055, 0.4910)
As (0.1156, 0.2298, 0.6975)
As (0.2079, 0.2973, 0.2217)
As (0.8844, 0.7298, 0.1975)
As (0.5189, 0.1214, 0.5107)
As (0.4811, 0.6214, 0.0107)
As (0.7921, 0.7973, 0.7217)

Calculated values
As for the space group: No. 7. The crystal system is monoclinic. The calculation puts the uncorrected formation energy at -22.737 eV/f.u.

Here is MnAsSe2O at its PBEsol-relaxed geometry from the Alexandria database. Energies are from SCAN.

Cell lengths 4.5098, 4.5098, 4.5575 Å; angles 90.00, 90.00, 90.00 degrees
Element x y z (fractional)
Mn (0.0000, 0.0000, 0.0000)
Se (0.5000, 0.0000, 0.0000)
Se (0.0000, 0.5000, 0.0000)
O (0.5000, 0.5000, 0.5000)
As (0.0000, 0.0000, 0.5000)

Calculated values
As for the space group: No. 123. The crystal system is tetragonal. The calculation puts the uncorrected formation energy at 3.140 eV/f.u.

Here is Mn3Zn3As4O16 at its PBEsol-relaxed geometry from the Alexandria database. Energies are from SCAN.

Cell lengths 5.2309, 8.4322, 15.2905 Å; angles 101.73, 90.00, 90.00 degrees
Element x y z (fractional)
O (0.2839, 0.3930, 0.8973)
O (0.6813, 0.3870, 0.3759)
O (0.7169, 0.9738, 0.3982)
O (0.4220, 0.9321, 0.7519)
O (0.0926, 0.7614, 0.0123)
O (0.9029, 0.8124, 0.6514)
O (0.2169, 0.5262, 0.1018)
O (0.5957, 0.6810, 0.2954)
O (0.1813, 0.1130, 0.1241)
O (0.6827, 0.9799, 0.0710)
O (0.7161, 0.6070, 0.1027)
O (0.1827, 0.5201, 0.4290)
O (0.8187, 0.8870, 0.8759)
O (0.8173, 0.4799, 0.5710)
O (0.5926, 0.7386, 0.4877)
O (0.7831, 0.4738, 0.8982)
O (0.7839, 0.1070, 0.6027)
O (0.4029, 0.6876, 0.8486)
O (0.2161, 0.8930, 0.3973)
O (0.3187, 0.6130, 0.6241)
O (0.9074, 0.2386, 0.9877)
O (0.0971, 0.1876, 0.3486)
O (0.3173, 0.0201, 0.9290)
O (0.0780, 0.4321, 0.2519)
O (0.5971, 0.3124, 0.1514)
O (0.5780, 0.0679, 0.2481)
O (0.9043, 0.1810, 0.7954)
O (0.0957, 0.8190, 0.2046)
O (0.9220, 0.5679, 0.7481)
O (0.4043, 0.3190, 0.7046)
O (0.4074, 0.2614, 0.5123)
O (0.2831, 0.0262, 0.6018)
Mn (0.4796, 0.1724, 0.3775)
Mn (0.5204, 0.8276, 0.6225)
Mn (0.0000, 0.0000, 0.5000)
Mn (0.5000, 0.5000, 0.0000)
Mn (0.0204, 0.6724, 0.8775)
Mn (0.9796, 0.3276, 0.1225)
As (0.4952, 0.8901, 0.8554)
As (0.0108, 0.6959, 0.1079)
As (0.5048, 0.1099, 0.1446)
As (0.9952, 0.6099, 0.6446)
As (0.9892, 0.3041, 0.8921)
As (0.5108, 0.8041, 0.3921)
As (0.4892, 0.1959, 0.6079)
As (0.0048, 0.3901, 0.3554)
Zn (0.5000, 0.5000, 0.5000)
Zn (0.0000, 0.0000, 0.0000)
Zn (0.9209, 0.9859, 0.2823)
Zn (0.4209, 0.5141, 0.2177)
Zn (0.5791, 0.4859, 0.7823)
Zn (0.0791, 0.0141, 0.7177)

Calculated values
As for the space group: No. 14. The crystal system is monoclinic. The calculation puts the uncorrected formation energy at -41.289 eV/f.u.

Here is Mn2As2Os at its PBEsol-relaxed geometry from the Alexandria database. Energies are from SCAN.

Cell lengths 4.2160, 4.2160, 4.9204 Å; angles 115.37, 115.37, 90.00 degrees
Element x y z (fractional)
Os (0.0000, 0.0000, 0.0000)
As (0.2500, 0.7500, 0.5000)
As (0.7500, 0.2500, 0.5000)
Mn (0.3743, 0.3743, 0.7487)
Mn (0.6257, 0.6257, 0.2513)

Calculated values
As for the space group: No. 139. The crystal system is tetragonal. As for the energy of formation: 0.725 eV per atom.

Here is MnAs3Os at its PBEsol-relaxed geometry from the Alexandria database. Energies are from SCAN.

Cell lengths 4.4162, 4.4162, 4.4162 Å; angles 90.00, 90.00, 90.00 degrees
Element x y z (fractional)
As (0.5000, 0.0000, 0.0000)
As (0.0000, 0.5000, 0.0000)
As (0.0000, 0.0000, 0.5000)
Os (0.5000, 0.5000, 0.5000)
Mn (0.0000, 0.0000, 0.0000)

Calculated values
As for the space group: No. 221. The crystal system is cubic. As for the energy of formation: 1.125 eV per atom.

Here is MnAs4Os at its PBEsol-relaxed geometry from the Alexandria database. Energies are from SCAN.

Cell lengths 5.2716, 5.2716, 5.2716 Å; angles 60.00, 60.00, 60.00 degrees
Element x y z (fractional)
Mn (0.7500, 0.7500, 0.7500)
As (0.3748, 0.3748, 0.3748)
As (0.3748, 0.8757, 0.3748)
As (0.3748, 0.3748, 0.8757)
As (0.8757, 0.3748, 0.3748)
Os (0.0000, 0.0000, 0.0000)

Calculated values
As for the space group: No. 216. The crystal system is cubic. As for the energy of formation: 0.928 eV per atom.

Here is MnAs2Os at its PBEsol-relaxed geometry from the Alexandria database. Energies are from SCAN.

Cell lengths 2.9928, 3.6764, 5.2730 Å; angles 90.00, 90.00, 90.00 degrees
Element x y z (fractional)
Mn (0.0000, 0.0000, 0.4553)
As (0.5000, 0.5000, 0.3097)
As (0.0000, 0.0000, 0.9518)
Os (0.5000, 0.5000, 0.7832)

Calculated values
As for the space group: No. 25. The value obtained for the energy relative to the lowest polymorph listed for this composition is 0.000 eV/atom. The crystal system is orthorhombic. As for the energy of formation: -0.028 eV per atom.

Here is MnAs2Os at its PBEsol-relaxed geometry from the Alexandria database. Energies are from SCAN.

Cell lengths 2.9335, 4.1657, 5.0293 Å; angles 101.21, 90.00, 110.62 degrees
Element x y z (fractional)
Mn (0.0000, 0.0000, 0.5000)
Os (0.5000, 0.0000, 0.0000)
As (0.7508, 0.5017, 0.7436)
As (0.2492, 0.4983, 0.2564)

Calculated values
As for the space group: No. 12. The value obtained for the energy relative to the lowest polymorph listed for this composition is 0.140 eV/atom. The crystal system is monoclinic. As for the energy of formation: 0.112 eV per atom.

| no. | magnetic moment (μB per atom) |
| --- | --- |
| 1 | 0.667 |
| 2 | 0.556 |
| 3 | 0.250 |
| 4 | 0.270 |
| 5 | 0.577 |
| 6 | 0.531 |
| 7 | 0.573 |
| 8 | 0.508 |
| 9 | 0.767 |
| 10 | 0.801 |